A plane-wave DFT calculation with PBE was carried out for crystalline TmSiPt5 at its relaxed geometry.

Unit cell a=4.027 b=4.027 c=7.151 alpha=90.00 beta=90.00 gamma=90.00
Space group P4/mmm (No. 123)
Unique sites:
Tm: 0.000 0.000 0.000 [1 per cell]
Si: 0.500 0.500 0.500 [1 per cell]
Pt: 0.000 0.500 0.297 [4 per cell]
Pt: 0.500 0.500 0.000 [1 per cell]

Uncorrected formation energy, eV/atom: -0.971
Crystal system: tetragonal
M_tot, Bohr magnetons per cell: 0.0